--- A ---
Computed, not measured: a geometry-optimized Ta3Mn4 structure at the PBE-GGA level of DFT.

Unit cell a=10.830 b=10.830 c=10.830 alpha=163.71 beta=163.71 gamma=23.11
Positions (direct):
1 Ta 0.000 0.000 0.000
2 Ta 0.294 0.294 0.000
3 Ta 0.706 0.706 0.000
4 Mn 0.138 0.138 0.000
5 Mn 0.430 0.430 0.000
6 Mn 0.570 0.570 0.000
7 Mn 0.862 0.862 0.000

Output
SG: I4/mmm
D(E_F): 9.5 states/eV/cell

---

--- B ---
Computed, not measured: a geometry-optimized Ta3Mn4 structure at the PBE-GGA level of DFT.

Unit cell a=5.336 b=5.336 c=4.549 alpha=90.00 beta=90.00 gamma=120.00
Positions (direct):
1 Ta 0.000 0.500 0.000
2 Ta 0.500 0.000 0.000
3 Ta 0.500 0.500 0.000
4 Mn 0.000 0.000 0.258
5 Mn 0.000 0.000 0.742
6 Mn 0.333 0.667 0.500
7 Mn 0.667 0.333 0.500

Output
SG: P6/mmm
D(E_F): 8.9 states/eV/cell

---

Which of the structures shown above is the most stable? The most stable is A.